DFT (meta-GGA SCAN) results for RbMgSb2Te at its PBEsol-relaxed geometry.

Energy relative to the elements, uncorrected = -0.20 eV per formula unit
DOS(E_F) = 0.766 states/eV per atom
Total energy = -27.537 eV per atom

Unit cell a=5.429 b=5.429 c=5.675 alpha=90.00 beta=90.00 gamma=90.00
Positions (direct):
1 Rb 0.000 0.000 0.000
2 Mg 0.500 0.500 0.500
3 Sb 0.000 0.500 0.500
4 Sb 0.500 0.000 0.500
5 Te 0.500 0.500 0.000



DFT (meta-GGA SCAN) results for RbMgSbTe2 at its PBEsol-relaxed geometry.

Energy relative to the elements, uncorrected = 5.36 eV per formula unit
DOS(E_F) = 1.121 states/eV per atom
Total energy = -26.423 eV per atom

Unit cell a=5.998 b=5.998 c=5.844 alpha=90.00 beta=90.00 gamma=90.00
Positions (direct):
1 Rb 0.000 0.000 0.000
2 Mg 0.500 0.500 0.500
3 Sb 0.000 0.000 0.500
4 Te 0.000 0.500 0.000
5 Te 0.500 0.000 0.000



DFT (meta-GGA SCAN) results for RbMg2Sc at its PBEsol-relaxed geometry.

DOS(E_F) = 1.080 states/eV per atom
Total energy = -10.543 eV per atom

Unit cell a=8.882 b=8.882 c=6.836 alpha=90.00 beta=90.00 gamma=90.00
Positions (direct):
1 Rb 0.000 0.000 0.000
2 Rb 0.000 0.500 0.250
3 Rb 0.500 0.000 0.750
4 Rb 0.500 0.500 0.500
5 Mg 0.214 0.250 0.625
6 Mg 0.250 0.714 0.875
7 Mg 0.250 0.786 0.375
8 Mg 0.286 0.250 0.125
9 Mg 0.714 0.750 0.125
10 Mg 0.750 0.214 0.375
11 Mg 0.750 0.286 0.875
12 Mg 0.786 0.750 0.625
13 Sc 0.000 0.000 0.500
14 Sc 0.000 0.500 0.750
15 Sc 0.500 0.000 0.250
16 Sc 0.500 0.500 0.000



DFT (meta-GGA SCAN) results for RbMgScTe3 at its PBEsol-relaxed geometry.

Energy relative to the elements, uncorrected = -7.49 eV per formula unit
Total energy = -26.533 eV per atom

Unit cell a=8.349 b=8.349 c=11.259 alpha=90.00 beta=90.00 gamma=149.97
Positions (direct):
1 Rb 0.248 0.752 0.750
2 Rb 0.752 0.248 0.250
3 Mg 0.466 0.534 0.250
4 Mg 0.534 0.466 0.750
5 Sc 0.000 0.000 0.000
6 Sc 0.000 0.000 0.500
7 Te 0.070 0.930 0.250
8 Te 0.378 0.622 0.043
9 Te 0.378 0.622 0.457
10 Te 0.622 0.378 0.543
11 Te 0.622 0.378 0.957
12 Te 0.930 0.070 0.750



DFT (meta-GGA SCAN) results for Rb2MgSe at its PBEsol-relaxed geometry.

Energy relative to the elements, uncorrected = -1.99 eV per formula unit
DOS(E_F) = 0.000 states/eV per atom
Total energy = -17.129 eV per atom

Unit cell a=8.298 b=8.298 c=8.298 alpha=90.00 beta=90.00 gamma=90.00
Positions (direct):
1 Rb 0.250 0.250 0.250
2 Rb 0.250 0.250 0.750
3 Rb 0.250 0.750 0.250
4 Rb 0.250 0.750 0.750
5 Rb 0.750 0.250 0.250
6 Rb 0.750 0.250 0.750
7 Rb 0.750 0.750 0.250
8 Rb 0.750 0.750 0.750
9 Mg 0.000 0.000 0.000
10 Mg 0.000 0.500 0.500
11 Mg 0.500 0.000 0.500
12 Mg 0.500 0.500 0.000
13 Se 0.000 0.000 0.500
14 Se 0.000 0.500 0.000
15 Se 0.500 0.000 0.000
16 Se 0.500 0.500 0.500



DFT (meta-GGA SCAN) results for RbMg2SiTe at its PBEsol-relaxed geometry.

Energy relative to the elements, uncorrected = 7.83 eV per formula unit
DOS(E_F) = 0.902 states/eV per atom
Total energy = -14.024 eV per atom

Unit cell a=5.835 b=5.835 c=5.552 alpha=90.00 beta=90.00 gamma=90.00
Positions (direct):
1 Rb 0.000 0.000 0.000
2 Mg 0.000 0.500 0.000
3 Mg 0.500 0.000 0.000
4 Si 0.000 0.000 0.500
5 Te 0.500 0.500 0.500